VASP calculation (PBE) on GeIrPtN2 after structural relaxation.

The density of states at the Fermi level comes out at 1.93 states/eV/cell. For the total energy, the calculation gives -0.4719 Ry per atom. The value obtained for the offset from the most stable computed form is 0.0 meV/atom. For the energy relative to the elements, uncorrected, the calculation gives 4.067 eV per formula unit.

The space group is P4/mmm (No. 123) and the conventional cell measures 3.6853, 3.6853 and 6.2817 Å, with angles of 90.00, 90.00 and 90.00 degrees. The distinct sites, in fractional coordinates, are Ge at (0.0000, 0.0000, 0.0000), Ir at (0.0000, 0.0000, 0.5000), Pt at (0.5000, 0.5000, 0.0000) and N at (0.0000, 0.5000, 0.5000).